1.
# NiAg3H

A relaxed structure of NiAg3H (PBE-GGA, Alexandria).

Cell and atoms, written as POSCAR:
```
NiAg3H
1.0
-3.2349 -3.2717 -1.4421
3.2421 -3.5041 0.6770
-1.5074 -0.5155 4.5509
Ni Ag H
1 3 1
Direct
0.0000 0.0000 0.0000
0.0000 0.5000 0.0000
0.0000 0.0000 0.5000
0.5000 0.0000 0.0000
0.5000 0.5000 0.5000
```

SG   No. 221
Calculated density   5.7 g cm⁻³
Electronic total energy   -2.30 eV/atom

***

2.
# Ni2AgH

A relaxed structure of Ni2AgH (PBE-GGA, Alexandria).

Cell and atoms, written as POSCAR:
```
Ni2AgH
1.0
-1.4484 -2.1125 0.7590
0.5964 -2.4322 -0.9302
4.1658 -2.5595 5.5272
Ni Ag H
2 1 1
Direct
0.1200 0.1200 0.6399
0.8800 0.8800 0.3601
0.0000 0.0000 0.0000
0.5000 0.5000 0.5000
```

SG   No. 166
Calculated density   8.4 g cm⁻³
Electronic total energy   -4.20 eV/atom